The following is a PBE calculation of a relaxed DyZrTa4 crystal, from the Alexandria database.

Cell lengths 5.638, 5.638, 5.638 Å; angles 60.00, 60.00, 60.00 degrees
Positions (direct):
Dy1 0.250 0.250 0.250
Zr1 0.000 0.000 0.000
Ta1 0.625 0.625 0.125
Ta2 0.625 0.125 0.625
Ta3 0.625 0.625 0.625
Ta4 0.125 0.625 0.625

Calculated values
Energy of formation from the pure elements, eV per atom: 0.186
Crystal system: cubic


The following is a PBE calculation of a relaxed DyZr2Ta crystal, from the Alexandria database.

Cell lengths 3.610, 3.610, 7.284 Å; angles 90.00, 90.00, 90.00 degrees
Positions (direct):
Dy1 0.500 0.500 0.500
Zr1 0.000 0.000 0.795
Zr2 0.000 0.000 0.205
Ta1 0.500 0.500 0.000

Calculated values
Energy above the most stable polymorph in this dataset, kJ/mol of atoms: 0.00
Energy of formation from the pure elements, eV per atom: 0.151
Crystal system: tetragonal


The following is a PBE calculation of a relaxed DyZrTa crystal, from the Alexandria database.

Cell lengths 4.778, 4.778, 8.571 Å; angles 73.82, 73.82, 60.00 degrees
Positions (direct):
Zr1 0.556 0.556 0.333
Zr2 0.444 0.444 0.667
Dy1 0.286 0.286 0.142
Dy2 0.714 0.714 0.858
Ta1 0.847 0.847 0.460
Ta2 0.153 0.153 0.540

Calculated values
Energy of formation from the pure elements, eV per atom: 0.379
Crystal system: trigonal


The following is a PBE calculation of a relaxed DyZr2Ta crystal, from the Alexandria database.

Cell lengths 3.168, 3.168, 11.211 Å; angles 81.88, 81.88, 60.00 degrees
Positions (direct):
Dy1 0.000 0.000 0.000
Zr1 0.095 0.095 0.716
Zr2 0.905 0.905 0.284
Ta1 0.500 0.500 0.500

Calculated values
Energy above the most stable polymorph in this dataset, kJ/mol of atoms: 17.60
Energy of formation from the pure elements, eV per atom: 0.333
Crystal system: trigonal


The following is a PBE calculation of a relaxed Dy3Zr12Ta5 crystal, from the Alexandria database.

Cell lengths 14.466, 14.466, 14.466 Å; angles 109.47, 109.47, 109.47 degrees
Each line ends with the local moment (μB).
Positions (direct):
Dy1 0.750 0.375 0.125  0.13
Dy2 0.875 0.750 0.125  0.13
Dy3 0.375 0.750 0.625  0.13
Dy4 0.250 0.125 0.375  0.13
Dy5 0.875 0.125 0.250  0.13
Dy6 0.375 0.625 0.250  0.13
Dy7 0.625 0.375 0.750  0.13
Dy8 0.125 0.875 0.750  0.13
Dy9 0.750 0.875 0.625  0.13
Dy10 0.625 0.250 0.375  0.13
Dy11 0.125 0.250 0.875  0.13
Dy12 0.250 0.625 0.875  0.13
Ta1 0.125 0.375 0.250  0.02
Ta2 0.000 0.500 0.000  -0.01
Ta3 0.000 0.000 0.000  -0.01
Ta4 0.375 0.250 0.125  0.02
Ta5 0.500 0.000 0.500  -0.01
Ta6 0.500 0.500 0.000  -0.01
Ta7 0.125 0.750 0.375  0.02
Ta8 0.750 0.125 0.875  0.02
Ta9 0.750 0.625 0.375  0.02
Ta10 0.375 0.125 0.750  0.02
Ta11 0.625 0.875 0.250  0.02
Ta12 0.500 0.500 0.500  -0.01
Ta13 0.500 0.000 0.000  -0.01
Ta14 0.000 0.000 0.500  -0.01
Ta15 0.250 0.375 0.625  0.02
Ta16 0.250 0.875 0.125  0.02
Ta17 0.000 0.500 0.500  -0.01
Ta18 0.875 0.250 0.625  0.02
Ta19 0.625 0.750 0.875  0.02
Ta20 0.875 0.625 0.750  0.02
Zr1 0.699 0.085 0.019  0.05
Zr2 0.320 0.519 0.434  0.05
Zr3 0.981 0.415 0.301  0.05
Zr4 0.519 0.199 0.085  0.05
Zr5 0.614 0.699 0.680  0.05
Zr6 0.981 0.566 0.180  0.05
Zr7 0.320 0.801 0.386  0.05
Zr8 0.066 0.886 0.085  0.05
Zr9 0.566 0.981 0.680  0.05
Zr10 0.699 0.614 0.180  0.05
Zr11 0.801 0.481 0.415  0.05
Zr12 0.820 0.934 0.019  0.05
Zr13 0.085 0.699 0.519  0.05
Zr14 0.415 0.434 0.114  0.05
Zr15 0.114 0.934 0.415  0.05
Zr16 0.386 0.085 0.566  0.05
Zr17 0.114 0.180 0.199  0.05
Zr18 0.481 0.680 0.066  0.05
Zr19 0.820 0.886 0.301  0.05
Zr20 0.085 0.386 0.066  0.05
Zr21 0.415 0.981 0.801  0.05
Zr22 0.566 0.585 0.386  0.05
Zr23 0.934 0.820 0.519  0.05
Zr24 0.801 0.320 0.886  0.05
Zr25 0.434 0.415 0.614  0.05
Zr26 0.066 0.180 0.481  0.05
Zr27 0.199 0.680 0.114  0.05
Zr28 0.180 0.114 0.699  0.05
Zr29 0.585 0.019 0.199  0.05
Zr30 0.915 0.614 0.934  0.05
Zr31 0.519 0.320 0.934  0.05
Zr32 0.614 0.915 0.434  0.05
Zr33 0.886 0.820 0.801  0.05
Zr34 0.886 0.066 0.585  0.05
Zr35 0.915 0.301 0.481  0.05
Zr36 0.180 0.066 0.981  0.05
Zr37 0.585 0.566 0.886  0.05
Zr38 0.434 0.019 0.320  0.05
Zr39 0.301 0.386 0.820  0.05
Zr40 0.199 0.519 0.585  0.05
Zr41 0.934 0.114 0.915  0.05
Zr42 0.680 0.199 0.614  0.05
Zr43 0.481 0.801 0.915  0.05
Zr44 0.019 0.434 0.820  0.05
Zr45 0.386 0.301 0.320  0.05
Zr46 0.019 0.585 0.699  0.05
Zr47 0.680 0.481 0.566  0.05
Zr48 0.301 0.915 0.981  0.05

Calculated values
Energy of formation from the pure elements, eV per atom: 1.415
Crystal system: cubic


The following is a PBE calculation of a relaxed Tb2Dy7 crystal, from the Alexandria database.

Cell lengths 3.529, 9.637, 9.637 Å; angles 120.00, 90.00, 90.00 degrees
Each line ends with the local moment (μB).
Positions (direct):
Tb1 0.000 0.667 0.333  0.01
Tb2 0.000 0.333 0.667  0.01
Dy1 0.500 0.640 0.000  0.02
Dy2 0.500 0.000 0.640  0.02
Dy3 0.500 0.360 0.360  0.02
Dy4 0.000 0.304 0.000  0.05
Dy5 0.000 0.000 0.304  0.05
Dy6 0.000 0.696 0.696  0.05
Dy7 0.500 0.000 0.000  0.09

Calculated values
Energy above the most stable polymorph in this dataset, kJ/mol of atoms: 2.07
Energy of formation from the pure elements, eV per atom: 0.041
Crystal system: hexagonal